! Fe3ClF5 | Alexandria via LeMat-Bulk | GGA+U | optimized geometry; values from VASP
! space-group type: Cmmm
! VASP energy: -0.390 Ry/atom
&SYSTEM
  ibrav = 0, nat = 18, ntyp = 3
/
ATOMIC_SPECIES
Fe 55.84 Fe.upf
Cl 35.45 Cl.upf
F 19.00 F.upf
CELL_PARAMETERS angstrom
3.3905 0.0000 0.0000
0.0000 6.3926 -2.2106
0.0000 0.4067 11.5244
ATOMIC_POSITIONS crystal
Fe 0.0000 0.0000 0.0000
Fe 0.5000 0.5000 0.0000
Fe 0.0000 0.3151 0.6301
Fe 0.5000 0.1618 0.3236
Fe 0.5000 0.8382 0.6764
Fe 0.0000 0.6849 0.3699
Cl 0.5000 0.3938 0.7877
Cl 0.5000 0.6062 0.2123
F 0.0000 0.2984 0.0000
F 0.0000 0.7016 0.0000
F 0.0000 0.0216 0.6527
F 0.5000 0.2569 0.5137
F 0.5000 0.9343 0.8685
F 0.0000 0.6311 0.6527
F 0.0000 0.3689 0.3473
F 0.5000 0.0657 0.1315
F 0.5000 0.7431 0.4863
F 0.0000 0.9784 0.3473